--- 1 ---
A relaxed structure of NaHoCo. Source: OQMD via LeMat-Bulk, functional PBE.

Cell and atoms, written as POSCAR:
```
NaHoCo
1.0
6.5650 0.0000 0.0000
0.0000 6.5650 0.0000
0.0000 0.0000 6.5650
Na Ho Co
4 4 4
direct
0.0000 0.0000 0.0000 Na
0.0000 0.5000 0.5000 Na
0.5000 0.0000 0.5000 Na
0.5000 0.5000 0.0000 Na
0.2500 0.2500 0.2500 Ho
0.2500 0.7500 0.7500 Ho
0.7500 0.2500 0.7500 Ho
0.7500 0.7500 0.2500 Ho
0.0000 0.0000 0.5000 Co
0.0000 0.5000 0.0000 Co
0.5000 0.0000 0.0000 Co
0.5000 0.5000 0.5000 Co
```


--- 2 ---
A relaxed structure of NaHoCo. Source: OQMD via LeMat-Bulk, functional PBE.

Cell and atoms, written as POSCAR:
```
NaHoCo
1.0
6.5117 0.0000 0.0000
0.0000 6.5117 0.0000
0.0000 0.0000 6.5117
Na Ho Co
4 4 4
direct
0.0000 0.0000 0.0000 Na
0.0000 0.5000 0.5000 Na
0.5000 0.0000 0.5000 Na
0.5000 0.5000 0.0000 Na
0.0000 0.0000 0.5000 Ho
0.0000 0.5000 0.0000 Ho
0.5000 0.0000 0.0000 Ho
0.5000 0.5000 0.5000 Ho
0.2500 0.2500 0.7500 Co
0.2500 0.7500 0.2500 Co
0.7500 0.2500 0.2500 Co
0.7500 0.7500 0.7500 Co
```


The computed energies, referenced to the most stable structure and given in eV/atom, are 1 0.393; 2 0.000.


--- 1 ---
A relaxed structure of NaHoCoS3. Source: OQMD via LeMat-Bulk, functional PBE.

Cell and atoms, written as POSCAR:
```
NaHoCoS3
1.0
10.3838 0.0000 0.0000
0.0000 3.8429 0.0000
0.0000 0.0000 12.8522
Na Ho Co S
4 4 4 12
direct
0.2165 0.2500 0.0007 Na
0.2835 0.7500 0.5007 Na
0.7165 0.2500 0.4993 Na
0.7835 0.7500 0.9993 Na
0.0162 0.7500 0.2597 Ho
0.4838 0.2500 0.7597 Ho
0.5162 0.7500 0.2403 Ho
0.9838 0.2500 0.7403 Ho
0.2333 0.7500 0.7796 Co
0.2667 0.2500 0.2796 Co
0.7333 0.7500 0.7204 Co
0.7667 0.2500 0.2204 Co
0.0543 0.7500 0.8779 S
0.0994 0.2500 0.3900 S
0.2375 0.2500 0.6772 S
0.2625 0.7500 0.1772 S
0.4006 0.7500 0.8900 S
0.4457 0.2500 0.3779 S
0.5543 0.7500 0.6221 S
0.5994 0.2500 0.1100 S
0.7375 0.2500 0.8228 S
0.7625 0.7500 0.3228 S
0.9006 0.7500 0.6100 S
0.9457 0.2500 0.1221 S
```


--- 2 ---
A relaxed structure of NaHoCoS3. Source: OQMD via LeMat-Bulk, functional PBE.

Cell and atoms, written as POSCAR:
```
NaHoCoS3
1.0
7.9785 0.0000 0.0000
0.0000 3.8223 0.0000
-2.0331 0.0000 8.6993
Na Ho Co S
2 2 2 6
direct
0.1896 0.2500 0.2116 Na
0.8104 0.7500 0.7884 Na
0.3277 0.7500 0.8520 Ho
0.6723 0.2500 0.1480 Ho
0.0799 0.2500 0.5844 Co
0.9201 0.7500 0.4156 Co
0.0885 0.2500 0.8429 S
0.1921 0.7500 0.5297 S
0.4341 0.7500 0.1609 S
0.5659 0.2500 0.8391 S
0.8079 0.2500 0.4703 S
0.9115 0.7500 0.1571 S
```


The computed energies, referenced to the most stable structure and given in eV/atom, are 1 0.038; 2 0.000.


--- 1 ---
A relaxed structure of Pr3Ho3CoTe2. Source: OQMD via LeMat-Bulk, functional PBE.

Cell and atoms, written as POSCAR:
```
Pr3Ho3CoTe2
1.0
8.6248 0.0000 0.0000
-4.3124 7.4693 0.0000
0.0000 0.0000 3.8773
Pr Ho Co Te
3 3 1 2
direct
0.0000 0.7590 0.0000 Pr
0.2410 0.2410 0.0000 Pr
0.7590 0.0000 0.0000 Pr
0.0000 0.4080 0.5000 Ho
0.4080 0.0000 0.5000 Ho
0.5920 0.5920 0.5000 Ho
0.0000 0.0000 0.5000 Co
0.3333 0.6667 0.0000 Te
0.6667 0.3333 0.0000 Te
```


--- 2 ---
A relaxed structure of Pr3Ho3CoTe2. Source: OQMD via LeMat-Bulk, functional PBE.

Cell and atoms, written as POSCAR:
```
Pr3Ho3CoTe2
1.0
8.5040 0.0000 0.0000
-4.2520 7.3647 0.0000
0.0000 0.0000 4.0327
Pr Ho Co Te
3 3 1 2
direct
0.0000 0.4033 0.0000 Pr
0.4033 0.0000 0.0000 Pr
0.5967 0.5967 0.0000 Pr
0.0000 0.7705 0.5000 Ho
0.2295 0.2295 0.5000 Ho
0.7705 0.0000 0.5000 Ho
0.0000 0.0000 0.0000 Co
0.3333 0.6667 0.5000 Te
0.6667 0.3333 0.5000 Te
```


The computed energies, referenced to the most stable structure and given in eV/atom, are 1 0.122; 2 0.000.


--- 1 ---
A relaxed structure of HoScCo. Source: OQMD via LeMat-Bulk, functional PBE.

Cell and atoms, written as POSCAR:
```
HoScCo
1.0
6.2969 0.0000 0.0000
0.0000 6.2969 0.0000
0.0000 0.0000 6.2969
Ho Sc Co
4 4 4
direct
0.0000 0.0000 0.0000 Ho
0.0000 0.5000 0.5000 Ho
0.5000 0.0000 0.5000 Ho
0.5000 0.5000 0.0000 Ho
0.2500 0.2500 0.7500 Sc
0.2500 0.7500 0.2500 Sc
0.7500 0.2500 0.2500 Sc
0.7500 0.7500 0.7500 Sc
0.0000 0.0000 0.5000 Co
0.0000 0.5000 0.0000 Co
0.5000 0.0000 0.0000 Co
0.5000 0.5000 0.5000 Co
```


--- 2 ---
A relaxed structure of HoScCo. Source: OQMD via LeMat-Bulk, functional PBE.

Cell and atoms, written as POSCAR:
```
HoScCo
1.0
6.3657 0.0000 0.0000
0.0000 6.3657 0.0000
0.0000 0.0000 6.3657
Ho Sc Co
4 4 4
direct
0.0000 0.0000 0.0000 Ho
0.0000 0.5000 0.5000 Ho
0.5000 0.0000 0.5000 Ho
0.5000 0.5000 0.0000 Ho
0.2500 0.2500 0.2500 Sc
0.2500 0.7500 0.7500 Sc
0.7500 0.2500 0.7500 Sc
0.7500 0.7500 0.2500 Sc
0.2500 0.2500 0.7500 Co
0.2500 0.7500 0.2500 Co
0.7500 0.2500 0.2500 Co
0.7500 0.7500 0.7500 Co
```


The computed energies, referenced to the most stable structure and given in eV/atom, are 1 0.000; 2 0.120.


--- 1 ---
A relaxed structure of HoZrCo2. Source: OQMD via LeMat-Bulk, functional PBE.

Cell and atoms, written as POSCAR:
```
HoZrCo2
1.0
4.0072 0.0000 0.0000
0.0000 5.2937 0.0000
0.0000 0.0000 6.9183
Ho Zr Co
2 2 4
direct
0.0000 0.0006 0.0000 Ho
0.5000 0.9994 0.5000 Ho
0.0000 0.5004 0.6665 Zr
0.5000 0.4996 0.1665 Zr
0.0000 0.2627 0.3335 Co
0.0000 0.7360 0.3328 Co
0.5000 0.2640 0.8328 Co
0.5000 0.7373 0.8335 Co
```


--- 2 ---
A relaxed structure of HoZrCo2. Source: OQMD via LeMat-Bulk, functional PBE.

Cell and atoms, written as POSCAR:
```
HoZrCo2
1.0
4.1305 0.0000 0.0000
0.0000 7.1152 0.0000
0.0000 0.0000 4.9640
Ho Zr Co
2 2 4
direct
0.0000 0.1709 0.0000 Ho
0.0000 0.8291 0.5000 Ho
0.5000 0.3409 0.5012 Zr
0.5000 0.6591 0.0012 Zr
0.0000 0.4994 0.2517 Co
0.0000 0.5006 0.7517 Co
0.5000 0.0003 0.2502 Co
0.5000 0.9997 0.7502 Co
```


The computed energies, referenced to the most stable structure and given in eV/atom, are 1 0.000; 2 0.006.


--- 1 ---
A relaxed structure of Co3I. Source: OQMD via LeMat-Bulk, functional PBE.

Cell and atoms, written as POSCAR:
```
Co3I
1.0
6.0377 0.0000 0.0000
0.0000 6.0377 0.0000
0.0000 0.0000 6.0377
Co I
12 4
direct
0.0000 0.0000 0.0000 Co
0.0000 0.5000 0.5000 Co
0.2500 0.2500 0.2500 Co
0.2500 0.2500 0.7500 Co
0.2500 0.7500 0.2500 Co
0.2500 0.7500 0.7500 Co
0.5000 0.0000 0.5000 Co
0.5000 0.5000 0.0000 Co
0.7500 0.2500 0.2500 Co
0.7500 0.2500 0.7500 Co
0.7500 0.7500 0.2500 Co
0.7500 0.7500 0.7500 Co
0.0000 0.0000 0.5000 I
0.0000 0.5000 0.0000 I
0.5000 0.0000 0.0000 I
0.5000 0.5000 0.5000 I
```


--- 2 ---
A relaxed structure of Co3I. Source: OQMD via LeMat-Bulk, functional PBE.

Cell and atoms, written as POSCAR:
```
Co3I
1.0
6.2497 0.0000 0.0000
-3.1248 5.4124 0.0000
0.0000 0.0000 3.8813
Co I
6 2
direct
0.1295 0.2591 0.2500 Co
0.1295 0.8705 0.2500 Co
0.2591 0.1295 0.7500 Co
0.7409 0.8705 0.2500 Co
0.8705 0.1295 0.7500 Co
0.8705 0.7409 0.7500 Co
0.3333 0.6667 0.7500 I
0.6667 0.3333 0.2500 I
```


The computed energies, referenced to the most stable structure and given in eV/atom, are 1 0.276; 2 0.000.